LaCd2Co (PBE, optimized geometry); raw total energy = -3.516 eV/atom; theoretical density = 7.3 g cm⁻³; Fermi-level density of states = 3.6 states/eV per cell; total magnetic moment = 0.0 μB/f.u.
1.0
5.442 -1.095 -0.659
4.273 3.544 -0.659
4.273 1.077 3.440
Cd La Co
2 1 1
Cartesian
13.418 3.383 2.036
3.056 0.770 0.464
10.365 2.613 1.573
8.130 2.050 1.234

=====

Sc6TlIn5 (PBE, optimized geometry); raw total energy = -4.908 eV/atom; theoretical density = 6.4 g cm⁻³; Fermi-level density of states = 8.3 states/eV per cell; total magnetic moment = 2.3 μB/f.u.
1.0
-1.915 -3.781 1.720
-2.095 0.118 -8.159
8.320 -1.140 0.669
Sc In Tl
6 5 1
Cartesian
0.117 -3.086 -0.577
-0.659 -0.988 -2.910
4.969 -3.813 -2.859
2.810 -1.407 0.031
1.500 -3.394 -5.800
4.194 -1.715 -5.192
-1.284 -1.986 -5.800
1.383 -0.302 -5.211
5.594 -2.816 0.030
4.843 -0.720 -2.278
2.155 -2.401 -2.885
0.000 0.000 0.000

=====

PuUTe2 (PBE, optimized geometry); raw total energy = -8.684 eV/atom; theoretical density = 11.4 g cm⁻³; Fermi-level density of states = 10.2 states/eV per cell; formation energy (no corrections) = -2.83 eV/f.u.; total magnetic moment = 9.7 μB/f.u.; ΔE to the lowest computed polymorph = 44 meV per atom
1.0
5.332 0.000 0.000
2.666 4.618 0.000
2.666 1.539 4.354
Te Pu U
2 1 1
Cartesian
7.999 4.618 3.265
2.666 1.539 1.088
0.000 0.000 0.000
5.332 3.079 2.177

=====

Q: Which formula does entry 1 have?
A: LaCd2Co

=====

Q: Among the records above, which one has the highest Fermi-level density of states?
A: PuUTe2

=====

Q: What is the Fermi-level density of states in the third record?
A: 10.2 states/eV per cell